[1]
DFT (PBE) results for AcInGa2 after structural relaxation.

Results
N(E_F) (states/eV/cell): 4.726
Final energy (eV per atom): -3.729

```
16
Lattice="4.572 0.000 0.000 0.000 7.580 0.000 0.000 0.000 11.784" Properties=species:S:1:pos:R:3 pbc="T T T"
Ac 1.143 1.094 10.129
Ac 1.143 4.884 7.547
Ga 3.429 6.291 10.077
Ga 3.429 3.619 9.870
Ga 1.143 1.288 1.708
In 3.429 2.609 0.701
Ac 3.429 6.486 1.655
Ac 3.429 2.696 4.237
In 1.143 1.181 6.593
In 1.143 4.971 11.084
Ga 1.143 3.960 1.914
Ga 3.429 7.409 7.806
Ga 1.143 0.171 3.978
In 3.429 6.399 5.192
Ga 3.429 2.502 7.600
Ga 1.143 5.078 4.185
```


[2]
DFT (PBE) results for Ce3Si4Ni7 after structural relaxation.

Results
N(E_F) (states/eV/cell): 12.820
Final energy (eV per atom): -6.356
Raw formation energy (eV per atom): -0.645

```
14
Lattice="-0.564 -1.752 -3.556 6.512 -4.109 -1.262 -1.333 -7.315 1.562" Properties=species:S:1:pos:R:3 pbc="T T T"
Si 2.485 -4.467 -2.702
Ce 2.589 -5.712 0.150
Si 2.130 -8.710 -0.555
Ni 0.000 0.000 0.000
Ni 0.096 -7.463 -0.846
Ce 0.797 -2.650 -1.075
Ce 3.817 -10.527 -2.181
Ni 3.963 -3.597 -1.110
Ni 4.518 -5.713 -2.410
Si 4.890 -7.725 -3.732
Ni 0.651 -9.579 -2.146
Si -0.275 -5.452 0.476
Ni 4.398 -7.929 -1.299
Ni 0.217 -5.247 -1.957
```